# 1
VASP calculation (PBE) on a geometry-optimized Tl8Hg6Te structure.

The structure in extended XYZ format:
```
15
Lattice="9.377 0.000 0.000 -4.688 8.120 0.000 0.000 0.000 6.205" Properties=species:S:1:pos:R:3 pbc="T T T"
Tl -1.071 2.284 1.938
Tl -2.175 7.905 1.938
Tl 1.443 2.069 4.267
Tl 0.000 5.414 1.887
Tl 4.688 2.707 4.318
Tl 3.245 6.051 1.938
Tl 6.863 0.215 4.267
Tl 5.759 5.836 4.267
Hg -1.189 3.789 5.024
Hg -0.813 7.256 5.024
Hg 2.686 2.924 1.181
Hg 2.002 5.196 5.024
Hg 5.501 0.865 1.181
Hg 5.877 4.332 1.181
Te 0.000 0.000 0.000
```

Results
As for the density of states at the Fermi level: 8.754 states/eV/cell. The total DFT energy (no corrections) comes out at -1.602 eV per atom.


# 2
VASP calculation (PBE) on a geometry-optimized Ho2Ga3CuIr4 structure.

The structure in extended XYZ format:
```
10
Lattice="4.074 0.000 0.000 0.000 4.074 0.000 0.000 0.000 10.756" Properties=species:S:1:pos:R:3 pbc="T T T"
Ho 0.000 2.037 2.682
Ho 2.037 0.000 8.074
Ga 0.000 2.037 9.324
Ga 2.037 0.000 1.432
Ga 2.037 2.037 5.378
Cu 0.000 0.000 5.378
Ir 0.000 0.000 0.000
Ir 0.000 2.037 6.892
Ir 2.037 0.000 3.864
Ir 2.037 2.037 0.000
```

Results
As for the density of states at the Fermi level: 6.338 states/eV/cell. The energy of formation is -6.02 eV per formula unit.


# 3
VASP calculation (PBE) on a geometry-optimized Sm5ZnCo2 structure.

The structure in extended XYZ format:
```
16
Lattice="-3.879 3.879 6.560 3.879 -3.879 6.560 3.879 3.879 -6.560" Properties=species:S:1:pos:R:3 pbc="T T T"
Sm 0.000 0.000 0.000
Sm 5.146 1.266 -1.779
Sm 1.266 2.613 -1.779
Sm 5.146 1.266 1.779
Sm 1.266 2.613 1.779
Sm 0.000 0.000 6.560
Sm 2.613 1.266 4.780
Sm -1.266 2.613 4.780
Sm 2.613 1.266 8.339
Sm -1.266 2.613 8.339
Zn 0.000 0.000 3.280
Zn 0.000 0.000 9.840
Co 2.881 0.998 0.000
Co 2.881 -0.998 6.560
Co 0.998 4.877 0.000
Co 0.998 2.881 6.560
```

Results
As for the density of states at the Fermi level: 16.830 states/eV/cell. The energy of formation is -1.14 eV per formula unit.


# 4
VASP calculation (PBE) on a geometry-optimized LaZnOsRu2 structure.

The structure in extended XYZ format:
```
5
Lattice="4.728 0.000 0.000 0.000 4.728 0.000 0.000 0.000 5.496" Properties=species:S:1:pos:R:3 pbc="T T T"
La 0.000 0.000 0.000
Zn 2.364 2.364 0.000
Os 0.000 0.000 2.748
Ru 0.000 2.364 2.748
Ru 2.364 0.000 2.748
```

Results
As for the density of states at the Fermi level: 5.934 states/eV/cell. The energy of formation is 4.72 eV per formula unit.


# 5
VASP calculation (PBE) on a geometry-optimized K2Cd4Pd structure.

The structure in extended XYZ format:
```
7
Lattice="2.652 -7.648 0.000 2.652 7.648 0.000 0.000 0.000 5.343" Properties=species:S:1:pos:R:3 pbc="T T T"
K 2.652 5.327 0.000
K 2.652 -5.327 0.000
Cd 0.000 0.000 2.671
Cd 2.652 2.738 2.671
Cd 2.652 0.000 0.000
Cd 2.652 -2.738 2.671
Pd 2.652 0.000 2.671
```

Results
The calculation puts the polymorph energy (0 for the lowest one) at 0 meV/atom. As for the density of states at the Fermi level: 2.511 states/eV/cell. The energy of formation is -0.92 eV per formula unit.


# 6
VASP calculation (PBE) on a geometry-optimized Sm3Zn2Co4 structure.

The structure in extended XYZ format:
```
9
Lattice="5.033 -2.063 0.000 5.033 2.063 0.000 -1.094 0.000 7.999" Properties=species:S:1:pos:R:3 pbc="T T T"
Sm 0.000 0.000 0.000
Sm 3.031 0.000 5.012
Sm 5.941 0.000 2.987
Zn 3.087 0.000 1.815
Zn 5.885 0.000 6.184
Co 0.067 0.000 4.995
Co 1.521 0.000 7.391
Co 7.451 0.000 0.608
Co 8.906 0.000 3.004
```

Results
As for the density of states at the Fermi level: 10.259 states/eV/cell. The energy of formation is -1.56 eV per formula unit.